Compound: MnCdAg2
Source: Alexandria
Functional: PBE
Structure: optimized geometry

abc: 2.8666 4.7511 5.3347
angles: 90.00 96.57 90.00
Closest atoms and distances in Å follow each position.
Space group P2/m (No. 10)
Asymmetric unit:
Mn  0.0000  0.0000  0.0000  4 Ag 2.81, 2 Mn 2.87, 2 Cd 2.88
Cd  0.5000  0.0000  0.5000  2 Cd 2.87, 4 Mn 2.88-3.17, 4 Ag 2.90
Ag  0.2315  0.5000  0.7597  2 Mn 2.81, 5 Ag 2.84-3.02, 2 Cd 2.90

Output
* DOS(E_F): 1.85 states/eV per cell
* energy of formation: 0.78 eV per formula unit
* uncorrected energy: -3.752 eV/atom
* crystal system: monoclinic